Hf2ZrSnPb | PBE-GGA | relaxed

DFT formation energy = 1154 meV per atom
density = 8.45 Mg/m³
calculated volume = 30.43 A^3/atom
VASP energy = -30.4 eV per formula unit

extended XYZ file:
```
5
Lattice="-0.973 -1.955 4.781 4.965 -2.385 0.035 2.058 4.315 2.184" Properties=species:S:1:pos:R:3 pbc="T T T"
Hf -0.487 -0.978 2.390
Pb 2.483 -1.193 0.018
Zr 3.025 -0.013 3.500
Hf 1.029 2.158 1.092
Sn 0.000 0.000 0.000
```

---

BaGdTlAu | PBE-GGA | relaxed

DFT formation energy = -412 meV per atom
density = 9.38 Mg/m³
calculated volume = 30.80 A^3/atom
VASP energy = -23.3 eV per formula unit

extended XYZ file:
```
4
Lattice="5.585 0.000 0.000 2.793 4.837 0.000 2.793 1.612 4.560" Properties=species:S:1:pos:R:3 pbc="T T T"
Ba 2.793 1.612 1.140
Au 0.000 0.000 0.000
Gd 8.378 4.837 3.420
Tl 5.585 3.225 2.280
```

---

LiLa2Pm2Au4 | PBE-GGA | relaxed

DFT formation energy = -551 meV per atom
density = 10.04 Mg/m³
calculated volume = 25.03 A^3/atom
VASP energy = -39.3 eV per formula unit

extended XYZ file:
```
9
Lattice="-2.981 3.204 5.051 -3.632 -0.298 -5.603 1.014 -6.517 1.084" Properties=species:S:1:pos:R:3 pbc="T T T"
Au -2.504 -1.808 -3.979
Pm -0.827 -2.153 -1.427
Au -0.114 -5.006 -0.540
Au -2.084 -0.099 1.356
La -1.638 -3.360 1.938
Li 0.000 0.000 0.000
Pm -1.791 -4.662 -3.091
Au -3.516 -3.511 -0.823
La -3.961 -0.250 -1.405
```